SmCdBi2 after structural relaxation. Source: Alexandria via LeMat-Bulk, functional GGA-PBE.

```
SmCdBi2
1.0
4.685 0.000 0.000
-2.343 4.058 0.000
0.000 0.000 20.713
Sm Cd Bi
3 3 6
Direct
0.000 0.000 0.000
0.333 0.667 0.667
0.667 0.333 0.333
0.000 0.000 0.830
0.333 0.667 0.497
0.667 0.333 0.163
0.000 0.000 0.417
0.000 0.000 0.583
0.333 0.667 0.084
0.333 0.667 0.249
0.667 0.333 0.751
0.667 0.333 0.916
```

## Properties
* ΔH_f (0 K): -268 meV per atom
* space group: R3m
* magnetic moment: 0.000 μB per formula unit